[1]
Compound: Er2TmMg3Pt3
Source: the Open Quantum Materials Database
Functional: PBE
Structure: optimized geometry

Cell: 4.0629 7.2915 7.2915 Å, 119.97 90.00 90.00°
With the nearest neighbours (Å) after each atom.
Fractional positions:
Er (0.0000, 0.2046, 0.7954)  5 Pt 2.99-3.00, 6 Mg 3.23-3.30
Er (0.0000, 0.7954, 0.2046)  5 Pt 2.99-3.00, 6 Mg 3.23-3.30
Tm (0.0000, 0.6133, 0.6133)  5 Pt 2.98-2.99, 6 Mg 3.23-3.30
Mg (0.5000, 0.2049, 0.4511)  4 Pt 2.71-2.81
Mg (0.5000, 0.4511, 0.2049)  4 Pt 2.71-2.81
Mg (0.5000, 0.9580, 0.9580)  4 Pt 2.72-2.80
Pt (0.0000, 0.2054, 0.2054)  6 Mg 2.71-2.72, 1 Tm 2.98, 2 Er 2.99
Pt (0.5000, 0.5382, 0.8703)  3 Mg 2.80-2.81, 2 Tm 2.99, 4 Er 3.00
Pt (0.5000, 0.8703, 0.5382)  3 Mg 2.80-2.81, 2 Tm 2.99, 4 Er 3.00

Energy   -45.21 eV/cell
Magnetic moment   0.001 μB per atom

[2]
Compound: LiNbTeW
Source: the Open Quantum Materials Database
Functional: PBE
Structure: optimized geometry

Cell: 6.4535 6.4535 6.4535 Å, 90.00 90.00 90.00°
With the nearest neighbours (Å) after each atom.
Fractional positions:
Li (0.0000, 0.0000, 0.0000)  4 Nb 2.79, 4 Te 2.79
Li (0.0000, 0.5000, 0.5000)  4 Nb 2.79, 4 Te 2.79
Li (0.5000, 0.0000, 0.5000)  4 Nb 2.79, 4 Te 2.79
Li (0.5000, 0.5000, 0.0000)  4 Nb 2.79, 4 Te 2.79
Nb (0.2500, 0.2500, 0.7500)  4 W 2.79, 4 Li 2.79
Nb (0.2500, 0.7500, 0.2500)  4 W 2.79, 4 Li 2.79
Nb (0.7500, 0.2500, 0.2500)  4 W 2.79, 4 Li 2.79
Nb (0.7500, 0.7500, 0.7500)  4 W 2.79, 4 Li 2.79
Te (0.2500, 0.2500, 0.2500)  4 W 2.79, 4 Li 2.79
Te (0.2500, 0.7500, 0.7500)  4 W 2.79, 4 Li 2.79
Te (0.7500, 0.2500, 0.7500)  4 W 2.79, 4 Li 2.79
Te (0.7500, 0.7500, 0.2500)  4 W 2.79, 4 Li 2.79
W (0.0000, 0.0000, 0.5000)  4 Nb 2.79, 4 Te 2.79
W (0.0000, 0.5000, 0.0000)  4 Nb 2.79, 4 Te 2.79
W (0.5000, 0.0000, 0.0000)  4 Nb 2.79, 4 Te 2.79
W (0.5000, 0.5000, 0.5000)  4 Nb 2.79, 4 Te 2.79

Energy   -109.19 eV/cell
Magnetic moment   0.001 μB per atom

[3]
Compound: TbSmCuSi3
Source: the Open Quantum Materials Database
Functional: PBE
Structure: optimized geometry

Cell: 8.0784 8.0292 5.7474 Å, 69.55 68.64 41.81°
With the nearest neighbours (Å) after each atom.
Fractional positions:
Tb (0.2500, 0.2500, 0.2500)  8 Si 3.08, 4 Cu 3.10
Tb (0.7500, 0.7500, 0.7500)  8 Si 3.08, 4 Cu 3.10
Sm (0.2437, 0.7563, 0.2437)  10 Si 3.09-3.12, 2 Cu 3.14
Sm (0.7563, 0.2437, 0.7563)  10 Si 3.09-3.12, 2 Cu 3.14
Cu (0.3329, 0.3329, 0.6671)  3 Si 2.27
Cu (0.6671, 0.6671, 0.3329)  3 Si 2.27
Si (0.1694, 0.1694, 0.8306)  1 Cu 2.27, 2 Si 2.36
Si (0.1703, 0.6598, 0.8297)  1 Cu 2.27, 2 Si 2.36
Si (0.3402, 0.8297, 0.6598)  1 Cu 2.27, 2 Si 2.36
Si (0.6598, 0.1703, 0.3402)  1 Cu 2.27, 2 Si 2.36
Si (0.8297, 0.3402, 0.1703)  1 Cu 2.27, 2 Si 2.36
Si (0.8306, 0.8306, 0.1694)  1 Cu 2.27, 2 Si 2.36

Energy   -67.66 eV/cell
Magnetic moment   0.000 μB per atom